# 1
The following is a PBE calculation of an optimized crystal structure of KBa2Cr, from Alexandria.

Cell: 6.428 6.428 6.428 Å, 60.00 60.00 60.00°
Element x y z (fractional)
K1 0.000 0.000 0.000
Ba1 0.250 0.250 0.250
Ba2 0.750 0.750 0.750
Cr1 0.500 0.500 0.500

Properties
D(E_F)	5.38	states/eV per cell
uncorrected energy	-12.3	eV per formula unit
space group	Fm-3m (225)
relative energy among the computed polymorphs	124	meV/atom
ΔE_f	2.26	eV/f.u.

# 2
The following is a PBE calculation of an optimized crystal structure of Mg2CuB2Ir5, from Alexandria.

Cell: 9.456 9.456 2.922 Å, 90.00 90.00 90.00°
Element x y z (fractional)
Mg1 0.177 0.323 0.000
Mg2 0.323 0.823 0.000
Mg3 0.677 0.177 0.000
Mg4 0.823 0.677 0.000
Cu1 0.000 0.000 0.000
Cu2 0.500 0.500 0.000
B1 0.128 0.628 0.000
B2 0.372 0.128 0.000
B3 0.628 0.872 0.000
B4 0.872 0.372 0.000
Ir1 0.000 0.500 0.500
Ir2 0.069 0.785 0.500
Ir3 0.215 0.069 0.500
Ir4 0.285 0.569 0.500
Ir5 0.431 0.285 0.500
Ir6 0.500 0.000 0.500
Ir7 0.569 0.715 0.500
Ir8 0.715 0.431 0.500
Ir9 0.785 0.931 0.500
Ir10 0.931 0.215 0.500

Properties
D(E_F)	12.69	states/eV per cell
uncorrected energy	-68.7	eV per formula unit
space group	P4/mbm (127)
ΔE_f	-3.72	eV/f.u.

# 3
The following is a PBE calculation of an optimized crystal structure of Dy2ScBi, from Alexandria.

Cell: 4.117 4.117 6.632 Å, 90.00 90.00 90.00°
Element x y z (fractional)
Dy1 0.000 0.000 0.247
Dy2 0.000 0.000 0.753
Sc1 0.500 0.500 0.500
Bi1 0.500 0.500 0.000

Properties
D(E_F)	3.42	states/eV per cell
uncorrected energy	-20.9	eV per formula unit
space group	P4/mmm (123)
relative energy among the computed polymorphs	0	meV/atom
ΔE_f	-1.48	eV/f.u.

# 4
The following is a PBE calculation of an optimized crystal structure of Sr3In6Ag5, from Alexandria.

Cell: 4.745 14.209 10.587 Å, 90.00 90.00 90.00°
Element x y z (fractional)
Sr1 0.250 0.052 0.244
Sr2 0.250 0.448 0.244
Sr3 0.250 0.750 0.263
Sr4 0.750 0.250 0.737
Sr5 0.750 0.552 0.756
Sr6 0.750 0.948 0.756
In1 0.250 0.071 0.586
In2 0.250 0.250 0.035
In3 0.250 0.250 0.417
In4 0.250 0.429 0.586
In5 0.250 0.600 0.984
In6 0.250 0.900 0.984
In7 0.750 0.100 0.016
In8 0.750 0.400 0.016
In9 0.750 0.571 0.414
In10 0.750 0.750 0.583
In11 0.750 0.750 0.965
In12 0.750 0.929 0.414
Ag1 0.250 0.093 0.858
Ag2 0.250 0.407 0.858
Ag3 0.250 0.635 0.547
Ag4 0.250 0.750 0.784
Ag5 0.250 0.865 0.547
Ag6 0.750 0.135 0.453
Ag7 0.750 0.250 0.216
Ag8 0.750 0.365 0.453
Ag9 0.750 0.593 0.142
Ag10 0.750 0.907 0.142

Properties
D(E_F)	12.53	states/eV per cell
uncorrected energy	-40.0	eV per formula unit
space group	Pmmn (59)
ΔE_f	-4.23	eV/f.u.

M_tot for every record listed, in sequence, given in μB per cell: 5.260; 0.000; 0.000; 0.000.